# 1
YLuZr: optimized geometry, PBE-GGA.

abc: 3.385 5.323 5.323
angles: 120.00 90.00 90.00
Atoms (fractional coordinates):
Zr: 0.167 0.333 0.667
Y: 0.667 0.667 0.333
Lu: 0.167 0.000 0.000

Summary:
The space group is P-6m2, No. 187. As for the calculated formation energy: 123 meV per atom. The calculation puts the density of states at the Fermi level at 5.83 states/eV/f.u. The calculation puts the relative energy among the computed polymorphs at 0.052 eV/atom. As for the spin magnetization: 0.56 μB per formula unit.

---

# 2
Ag2Hg4PCl5: optimized geometry, PBE-GGA.

abc: 6.622 7.310 7.332
angles: 90.00 90.00 116.93
Atoms (fractional coordinates):
Cl: 0.116 0.398 0.764
Cl: 0.116 0.398 0.236
Cl: 0.718 0.602 0.764
Cl: 0.169 0.000 0.500
Cl: 0.718 0.602 0.236
Hg: 0.070 0.723 0.000
Hg: 0.347 0.277 0.000
Hg: 0.617 0.000 0.683
Hg: 0.617 0.000 0.317
P: 0.461 0.000 0.000
Ag: 0.422 0.388 0.500
Ag: 0.034 0.612 0.500

Summary:
The space group is Amm2, No. 38. Its total energy is -2.12 eV per atom. As for the spin magnetization: 0.00 μB per formula unit.

---

# 3
MgNpRuPt: optimized geometry, PBE-GGA.

abc: 4.674 4.674 4.674
angles: 60.00 60.00 60.00
Atoms (fractional coordinates):
Np: 0.000 0.000 0.000
Ru: 0.250 0.250 0.250
Mg: 0.500 0.500 0.500
Pt: 0.750 0.750 0.750

Summary:
The space group is F-43m, No. 216. As for the calculated formation energy: -330 meV per atom. The calculation puts the density of states at the Fermi level at 5.39 states/eV/f.u. As for the spin magnetization: 2.96 μB per formula unit.

---

# 4
Sm4DyY7: optimized geometry, PBE-GGA.

abc: 5.907 11.749 6.757
angles: 83.37 64.08 75.44
Atoms (fractional coordinates):
Dy: 0.000 0.000 0.000
Y: 0.930 0.309 0.831
Y: 0.789 0.923 0.499
Y: 0.211 0.077 0.501
Y: 0.368 0.494 0.770
Y: 0.500 0.000 0.000
Y: 0.070 0.691 0.169
Y: 0.632 0.506 0.230
Sm: 0.358 0.776 0.508
Sm: 0.780 0.666 0.775
Sm: 0.220 0.334 0.225
Sm: 0.642 0.224 0.492

Summary:
The space group is C2/m, No. 12. As for the calculated formation energy: 280 meV per atom. The calculation puts the density of states at the Fermi level at 21.70 states/eV/f.u. The calculation puts the relative energy among the computed polymorphs at 0.195 eV/atom. As for the spin magnetization: 0.40 μB per formula unit.